# Ac8Si5P (PBE-GGA, optimized geometry)
data_Ac8Si5P
_chemical_formula_sum 'Ac8 Si5 P1'
_cell_length_a 8.3571
_cell_length_b 8.3571
_cell_length_c 8.3571
_cell_angle_alpha 109.53
_cell_angle_beta 109.36
_cell_angle_gamma 109.53
_space_group_name_H-M_alt 'P 1'
_space_group_IT_number 1
loop_
_space_group_symop_operation_xyz
'x,y,z'
loop_
_atom_site_label
_atom_site_type_symbol
_atom_site_fract_x
_atom_site_fract_y
_atom_site_fract_z
_atom_site_occupancy
Ac1 Ac 0.1235 0.7504 0.5040 1
Ac2 Ac 0.6270 0.3805 0.8765 1
Ac3 Ac 0.2572 0.2543 0.3796 1
Ac4 Ac 0.1252 0.7457 0.0029 1
Ac5 Ac 0.6204 0.8776 0.8748 1
Ac6 Ac 0.9971 0.1224 0.7428 1
Ac7 Ac 0.7536 0.2496 0.3730 1
Ac8 Ac 0.4960 0.6195 0.2464 1
P1 P 0.2500 0.5000 0.7500 1
Si1 Si 0.5000 0.0000 0.5000 1
Si2 Si 0.8760 0.8766 0.2502 1
Si3 Si 0.7498 0.6258 0.6264 1
Si4 Si 0.0006 0.3742 0.1240 1
Si5 Si 0.3736 0.1234 0.9994 1
# calculated volume	449.3	Å³/f.u.
# formation energy (no corrections)	-0.63	eV per atom

# LiCaCuGe2 (PBE-GGA, optimized geometry)
data_LiCaCuGe2
_chemical_formula_sum 'Li1 Ca1 Cu1 Ge2'
_cell_length_a 4.1617
_cell_length_b 4.1617
_cell_length_c 6.0614
_cell_angle_alpha 110.08
_cell_angle_beta 110.08
_cell_angle_gamma 90.00
_space_group_name_H-M_alt 'P 1'
_space_group_IT_number 1
loop_
_space_group_symop_operation_xyz
'x,y,z'
loop_
_atom_site_label
_atom_site_type_symbol
_atom_site_fract_x
_atom_site_fract_y
_atom_site_fract_z
_atom_site_occupancy
Ca1 Ca 0.0000 0.0000 0.0000 1
Ge1 Ge 0.3835 0.3835 0.7671 1
Ge2 Ge 0.6165 0.6165 0.2329 1
Li1 Li 0.7500 0.2500 0.5000 1
Cu1 Cu 0.2500 0.7500 0.5000 1
# calculated volume	91.8	Å³/f.u.
# energy	-19.3	eV per formula unit